Version one
This record from Alexandria describes crystalline MnTe2N2 at its relaxed geometry. The functional is GGA-PBEsol.

Values from the calculation:
Magnetization in μB per atom: 0.00
Density of states at the Fermi level in states/eV per cell: 2.67
Symmetry: P4/mmm (123)

Cell: 4.9059 4.9059 3.3693 Å, 90.00 90.00 90.00°
With the nearest neighbours (Å) after each atom.
Sites, in units of the cell vectors:
Mn: 0.0000 0.0000 0.0000  2 N 1.68
Te: 0.0000 0.5000 0.0000  2 Mn 2.45
Te: 0.5000 0.0000 0.0000  2 Mn 2.45
N: 0.0000 0.0000 0.5000  2 Mn 1.68
N: 0.5000 0.5000 0.5000  8 Te 2.98

Version two
This record from Alexandria describes crystalline MnTe2N2 at its relaxed geometry. The functional is GGA-PBEsol.

Values from the calculation:
Magnetization in μB per atom: 0.81
Density of states at the Fermi level in states/eV per cell: 4.90
Symmetry: I4/mmm (139)

Cell: 3.7930 3.7930 11.2199 Å, 90.00 90.00 90.00°
With the nearest neighbours (Å) after each atom.
Sites, in units of the cell vectors:
Mn: 0.0000 0.0000 0.0000  8 Te 3.16, 8 N 3.39
Mn: 0.5000 0.5000 0.5000  8 Te 3.16, 8 N 3.39
Te: 0.0000 0.0000 0.3509  4 N 2.21
Te: 0.0000 0.0000 0.6491  4 N 2.21
Te: 0.5000 0.5000 0.1491  4 N 2.21
Te: 0.5000 0.5000 0.8509  4 N 2.21
N: 0.0000 0.5000 0.2500  4 Te 2.21
N: 0.0000 0.5000 0.7500  4 Te 2.21
N: 0.5000 0.0000 0.2500  4 Te 2.21
N: 0.5000 0.0000 0.7500  4 Te 2.21

It is version two that is the least stable of them.

Version one
This record from Alexandria describes crystalline NaMn2O4 at its relaxed geometry. The functional is GGA-PBEsol.

Values from the calculation:
Magnetization in μB per atom: 0.95
Density of states at the Fermi level in states/eV per cell: 6.16
Symmetry: Pnma (62)

Cell: 8.8502 2.8450 10.8128 Å, 90.00 90.00 90.00°
With the nearest neighbours (Å) after each atom.
Sites, in units of the cell vectors:
Na: 0.2455 0.2500 0.1607  8 O 2.34-2.50
Na: 0.2545 0.7500 0.6607  8 O 2.34-2.50
Na: 0.7455 0.2500 0.3393  8 O 2.34-2.50
Na: 0.7545 0.7500 0.8393  8 O 2.34-2.50
Mn: 0.0674 0.2500 0.3853  6 O 1.90-2.11
Mn: 0.0806 0.2500 0.9020  6 O 1.90-1.95
Mn: 0.4194 0.7500 0.4020  6 O 1.90-1.95
Mn: 0.4326 0.7500 0.8853  6 O 1.90-2.11
Mn: 0.5674 0.2500 0.1147  6 O 1.90-2.11
Mn: 0.5806 0.2500 0.5980  6 O 1.90-1.95
Mn: 0.9194 0.7500 0.0980  6 O 1.90-1.95
Mn: 0.9326 0.7500 0.6147  6 O 1.90-2.11
O: 0.0246 0.7500 0.7944  3 Mn 1.90-2.11
O: 0.0686 0.2500 0.5800  3 Mn 1.90-2.11
O: 0.1159 0.7500 0.0213  3 Mn 1.93-1.95
O: 0.2097 0.7500 0.3476  3 Mn 1.94-1.95
O: 0.2903 0.2500 0.8476  3 Mn 1.94-1.95
O: 0.3841 0.2500 0.5213  3 Mn 1.93-1.95
O: 0.4314 0.7500 0.0800  3 Mn 1.90-2.11
O: 0.4754 0.2500 0.2944  3 Mn 1.90-2.11
O: 0.5246 0.7500 0.7056  3 Mn 1.90-2.11
O: 0.5686 0.2500 0.9200  3 Mn 1.90-2.11
O: 0.6159 0.7500 0.4787  3 Mn 1.93-1.95
O: 0.7097 0.7500 0.1524  3 Mn 1.94-1.95
O: 0.7903 0.2500 0.6524  3 Mn 1.94-1.95
O: 0.8841 0.2500 0.9787  3 Mn 1.93-1.95
O: 0.9314 0.7500 0.4200  3 Mn 1.90-2.11
O: 0.9754 0.2500 0.2056  3 Mn 1.90-2.11

Version two
This record from Alexandria describes crystalline NaMn2O4 at its relaxed geometry. The functional is GGA-PBEsol.

Values from the calculation:
Magnetization in μB per atom: 0.95
Density of states at the Fermi level in states/eV per cell: 5.46
Symmetry: Cmcm (63)

Cell: 5.0142 5.0142 9.6237 Å, 90.00 90.00 146.20°
With the nearest neighbours (Å) after each atom.
Sites, in units of the cell vectors:
Na: 0.1097 0.8903 0.7500  6 O 2.24-2.36
Na: 0.8903 0.1097 0.2500  6 O 2.24-2.36
Mn: 0.3643 0.6357 0.5716  4 O 1.84-1.95
Mn: 0.3643 0.6357 0.9284  4 O 1.84-1.95
Mn: 0.6357 0.3643 0.0716  4 O 1.84-1.95
Mn: 0.6357 0.3643 0.4284  4 O 1.84-1.95
O: 0.0000 0.0000 0.0000  4 Mn 2.07
O: 0.0000 0.0000 0.5000  4 Mn 2.07
O: 0.2632 0.7368 0.1043  3 Mn 1.93-1.95
O: 0.2632 0.7368 0.3957  3 Mn 1.93-1.95
O: 0.4329 0.5671 0.7500  2 Mn 1.84
O: 0.5671 0.4329 0.2500  2 Mn 1.84
O: 0.7368 0.2632 0.6043  3 Mn 1.93-1.95
O: 0.7368 0.2632 0.8957  3 Mn 1.93-1.95

Version three
This record from Alexandria describes crystalline NaMn2O4 at its relaxed geometry. The functional is GGA-PBEsol.

Values from the calculation:
Magnetization in μB per atom: 0.71
Density of states at the Fermi level in states/eV per cell: 3.35
Symmetry: P2/m (10)

Cell: 4.8287 2.8449 5.7963 Å, 90.00 106.76 90.00°
With the nearest neighbours (Å) after each atom.
Sites, in units of the cell vectors:
Na: 0.0000 0.0000 0.0000  6 O 2.38-2.40
Mn: 0.0000 0.5000 0.5000  6 O 1.91
Mn: 0.5000 0.0000 0.5000  6 O 1.91-1.93
O: 0.2261 0.0000 0.6820  3 Mn 1.91
O: 0.2689 0.5000 0.3133  3 Mn 1.91-1.93
O: 0.7311 0.5000 0.6867  3 Mn 1.91-1.93
O: 0.7739 0.0000 0.3180  3 Mn 1.91

It is version two that is the least stable of them.